[1]
Density functional theory data (GGA-PBE) for an optimized crystal structure of Cd4Br.

D(E_F) = 0.472 states/eV/atom
Excess energy over the best structure of this formula in the dataset = 0.00 eV per formula unit

Cell lengths 6.113, 6.113, 6.113 Å; angles 109.47, 109.47, 109.47 degrees
Sites, in units of the cell vectors:
Cd 0.500 0.000 0.000
Cd 0.000 0.500 0.000
Cd 0.500 0.500 0.500
Cd 0.000 0.000 0.500
Br 0.000 0.000 0.000

[2]
Density functional theory data (GGA-PBE) for an optimized crystal structure of Cd3Br.

D(E_F) = 0.655 states/eV/atom
Excess energy over the best structure of this formula in the dataset = 0.80 eV per formula unit

Cell lengths 4.769, 4.769, 4.769 Å; angles 90.00, 90.00, 90.00 degrees
Sites, in units of the cell vectors:
Cd 0.000 0.500 0.500
Cd 0.500 0.000 0.500
Cd 0.500 0.500 0.000
Br 0.000 0.000 0.000

[3]
Density functional theory data (GGA-PBE) for an optimized crystal structure of CeCdBr6.

Excess energy over the best structure of this formula in the dataset = 0.00 eV per formula unit

Cell lengths 6.955, 6.953, 7.369 Å; angles 61.85, 81.09, 70.83 degrees
Sites, in units of the cell vectors:
Br 0.254 0.896 0.699
Br 0.254 0.595 0.301
Br 0.756 0.757 0.000
Br 0.746 0.104 0.301
Br 0.746 0.405 0.699
Br 0.244 0.243 0.000
Ce 0.000 0.000 0.000
Cd 0.500 0.500 0.000

[4]
Density functional theory data (GGA-PBE) for an optimized crystal structure of CeCd2Br8.

Cell lengths 6.843, 9.570, 9.570 Å; angles 46.99, 94.77, 94.77 degrees
Sites, in units of the cell vectors:
Br 0.732 0.686 0.189
Br 0.732 0.189 0.686
Br 0.171 0.859 0.859
Br 0.268 0.811 0.314
Br 0.640 0.705 0.705
Br 0.360 0.295 0.295
Br 0.829 0.141 0.141
Br 0.268 0.314 0.811
Cd 0.443 0.159 0.159
Cd 0.557 0.841 0.841
Ce 0.000 0.000 0.000

Values for theoretical density, g cm⁻³, ordered as above
5.0; 6.4; 4.1; 3.7
Values for energy, eV/cell, ordered as above
-3.98; -4.39; -26.97; -33.28
Values for energy relative to the elements, uncorrected, eV/atom, ordered as above
0.272; 0.006; -1.261; -1.103